1.
The following is a PBE-GGA calculation of a geometry-optimized CoAgAs2 structure, from Alexandria via LeMat-Bulk.

The structure belongs to space group R3m (No. 160, hexagonal axes); the cell edges are 3.0587, 3.0587 and 24.9197 Å and the angles 90.00°, 90.00° and 120.00°. The asymmetric unit holds Co at (0.0000, 0.0000, 0.0000), Ag at (0.0000, 0.0000, 0.2480), As at (0.0000, 0.0000, 0.4891) and As at (0.0000, 0.0000, 0.7248).

As for the relative energy among the computed polymorphs: 226 meV/atom. The calculation puts the energy of formation at 1.0 eV/f.u.

***

2.
The following is a PBE-GGA calculation of a geometry-optimized BaTl2HgPd structure, from Alexandria via LeMat-Bulk.

The structure belongs to space group P4/mmm (No. 123); the cell edges are 5.3728, 5.3728 and 5.3914 Å and the angles 90.00°, 90.00° and 90.00°. The asymmetric unit holds Ba at (0.0000, 0.0000, 0.0000), Tl at (0.0000, 0.5000, 0.5000), Hg at (0.5000, 0.5000, 0.0000) and Pd at (0.5000, 0.5000, 0.5000).

As for the relative energy among the computed polymorphs: 75 meV/atom. The calculation puts the energy of formation at -1.3 eV/f.u.

***

3.
The following is a PBE-GGA calculation of a geometry-optimized V2Re2Sn structure, from Alexandria via LeMat-Bulk.

The structure belongs to space group P4/mbm (No. 127); the cell edges are 7.5443, 7.5443 and 2.8678 Å and the angles 90.00°, 90.00° and 90.00°. The asymmetric unit holds V at (0.1380, 0.3620, 0.0000), Re at (0.1494, 0.6494, 0.5000) and Sn at (0.0000, 0.0000, 0.0000).

As for the relative energy among the computed polymorphs: 59 meV/atom. The calculation puts the energy of formation at 1.7 eV/f.u.

***

4.
The following is a PBE-GGA calculation of a geometry-optimized Pr4SmTm7 structure, from Alexandria via LeMat-Bulk.

The structure belongs to space group C2/m (No. 12); the cell edges are 12.1248, 5.8822 and 12.8015 Å and the angles 90.00°, 117.82° and 90.00°. The asymmetric unit holds Pr at (0.1369, 0.0000, 0.2775), Pr at (0.2196, 0.5000, 0.1635), Sm at (0.0000, 0.5000, 0.5000), Tm at (0.0000, 0.0000, 0.5000), Tm at (0.0704, 0.5000, 0.8116), Tm at (0.1325, 0.0000, 0.9941) and Tm at (0.2111, 0.5000, 0.4234).

As for the relative energy among the computed polymorphs: 234 meV/atom. The calculation puts the energy of formation at 3.1 eV/f.u.

***

Look up the relative energy among the computed polymorphs of the fourth one.
234 meV/atom